## CeThZn2 (PBE)

Data for crystalline CeThZn2 at its relaxed geometry.

Cell: 4.1034 4.4123 10.6176 Å, 90.00 101.14 90.00°
Element x y z (fractional)
Ce 0.0428 0.2500 0.0891
Ce 0.9572 0.7500 0.9109
Th 0.3039 0.7500 0.6078
Th 0.6961 0.2500 0.3922
Zn 0.1518 0.7500 0.3048
Zn 0.4264 0.2500 0.8508
Zn 0.5736 0.7500 0.1492
Zn 0.8482 0.2500 0.6952

Energy of formation (eV per atom): -0.173
Density of states at the Fermi level (states/eV/f.u.): 7.07
Energy (Ry/atom): -0.3049